1.
VASP calculation (GGA-PBE) on a geometry-optimized HgIrPbI2 structure.

Results
Symmetry ... No. 123
Formation energy from raw total energies ... 22.355 kcal/mol of atoms
DOS at the Fermi energy ... 4.1 states/eV per cell
Energy ... -11.1 eV/cell

a b c (Å): 5.825 5.825 5.238
angles (deg): 90.00 90.00 90.00
Fractional positions:
Hg  0.000  0.000  0.000
Ir  0.000  0.000  0.500
Pb  0.500  0.500  0.500
I  0.000  0.500  0.000
I  0.500  0.000  0.000


2.
VASP calculation (GGA-PBE) on a geometry-optimized Pm8HgIr3I4 structure.

Results
Symmetry ... No. 166
Formation energy from raw total energies ... -20.402 kcal/mol of atoms
DOS at the Fermi energy ... 10.6 states/eV per cell
Energy ... -85.2 eV/cell

a b c (Å): 9.439 9.439 9.439
angles (deg): 53.64 53.64 53.64
Fractional positions:
Pm  0.207  0.740  0.740
Pm  0.229  0.229  0.229
Pm  0.260  0.260  0.793
Pm  0.260  0.793  0.260
Pm  0.740  0.207  0.740
Pm  0.740  0.740  0.207
Pm  0.771  0.771  0.771
Pm  0.793  0.260  0.260
Hg  0.500  0.500  0.500
Ir  0.000  0.000  0.500
Ir  0.000  0.500  0.000
Ir  0.500  0.000  0.000
I  0.000  0.000  0.000
I  0.000  0.500  0.500
I  0.500  0.000  0.500
I  0.500  0.500  0.000


3.
VASP calculation (GGA-PBE) on a geometry-optimized Pm6HgIr2I3 structure.

Results
Symmetry ... No. 12
Formation energy from raw total energies ... -20.154 kcal/mol of atoms
DOS at the Fermi energy ... 7.7 states/eV per cell
Energy ... -61.7 eV/cell

a b c (Å): 7.398 7.398 8.449
angles (deg): 98.41 98.41 119.98
Fractional positions:
Pm  0.074  0.436  0.809
Pm  0.202  0.202  0.190
Pm  0.436  0.074  0.809
Pm  0.564  0.926  0.191
Pm  0.798  0.798  0.810
Pm  0.926  0.564  0.191
Hg  0.500  0.500  0.000
Ir  0.167  0.833  0.000
Ir  0.833  0.167  0.000
I  0.000  0.000  0.500
I  0.337  0.663  0.500
I  0.663  0.337  0.500


4.
VASP calculation (GGA-PBE) on a geometry-optimized Pr8HgIr3I4 structure.

Results
Symmetry ... No. 166
Formation energy from raw total energies ... -20.157 kcal/mol of atoms
DOS at the Fermi energy ... 11.1 states/eV per cell
Energy ... -85.3 eV/cell

a b c (Å): 9.564 9.564 9.564
angles (deg): 53.66 53.66 53.66
Fractional positions:
Pr  0.208  0.740  0.740
Pr  0.229  0.229  0.229
Pr  0.260  0.260  0.792
Pr  0.260  0.792  0.260
Pr  0.740  0.208  0.740
Pr  0.740  0.740  0.208
Pr  0.771  0.771  0.771
Pr  0.792  0.260  0.260
Hg  0.500  0.500  0.500
Ir  0.000  0.000  0.500
Ir  0.000  0.500  0.000
Ir  0.500  0.000  0.000
I  0.000  0.000  0.000
I  0.000  0.500  0.500
I  0.500  0.000  0.500
I  0.500  0.500  0.000


5.
VASP calculation (GGA-PBE) on a geometry-optimized Pr6HgIr2I3 structure.

Results
Symmetry ... No. 12
Formation energy from raw total energies ... -19.947 kcal/mol of atoms
DOS at the Fermi energy ... 8.1 states/eV per cell
Energy ... -61.7 eV/cell

a b c (Å): 7.500 7.500 8.558
angles (deg): 98.42 98.42 119.96
Fractional positions:
Pr  0.074  0.435  0.808
Pr  0.202  0.202  0.191
Pr  0.435  0.074  0.808
Pr  0.565  0.926  0.192
Pr  0.798  0.798  0.809
Pr  0.926  0.565  0.192
Hg  0.500  0.500  0.000
Ir  0.167  0.833  0.000
Ir  0.833  0.167  0.000
I  0.000  0.000  0.500
I  0.337  0.663  0.500
I  0.663  0.337  0.500


6.
VASP calculation (GGA-PBE) on a geometry-optimized Rb2HgIrI6 structure.

Results
Symmetry ... No. 139
Formation energy from raw total energies ... -13.766 kcal/mol of atoms
DOS at the Fermi energy ... 10.4 states/eV per cell
Energy ... -26.4 eV/cell

a b c (Å): 8.323 8.323 8.323
angles (deg): 119.95 119.95 90.09
Fractional positions:
Rb  0.250  0.750  0.500
Rb  0.750  0.250  0.500
Hg  0.000  0.000  0.000
Ir  0.500  0.500  0.000
I  0.269  0.269  0.000
I  0.269  0.269  0.539
I  0.269  0.731  0.000
I  0.731  0.269  0.000
I  0.731  0.731  0.000
I  0.731  0.731  0.461


7.
VASP calculation (GGA-PBE) on a geometry-optimized HgSb2IrI structure.

Results
Symmetry ... No. 123
Formation energy from raw total energies ... 8.892 kcal/mol of atoms
DOS at the Fermi energy ... 4.8 states/eV per cell
Energy ... -17.0 eV/cell
Energy relative to the lowest polymorph listed for this composition ... 0 meV/atom

a b c (Å): 5.152 5.152 5.869
angles (deg): 90.00 90.00 90.00
Fractional positions:
Hg  0.000  0.000  0.000
Sb  0.000  0.500  0.500
Sb  0.500  0.000  0.500
Ir  0.500  0.500  0.500
I  0.500  0.500  0.000


8.
VASP calculation (GGA-PBE) on a geometry-optimized HgSbIrI2 structure.

Results
Symmetry ... No. 123
Formation energy from raw total energies ... 7.268 kcal/mol of atoms
DOS at the Fermi energy ... 3.7 states/eV per cell
Energy ... -14.8 eV/cell
Energy relative to the lowest polymorph listed for this composition ... 0 meV/atom

a b c (Å): 5.703 5.703 4.998
angles (deg): 90.00 90.00 90.00
Fractional positions:
Hg  0.000  0.000  0.000
Sb  0.500  0.500  0.000
Ir  0.500  0.500  0.500
I  0.000  0.500  0.500
I  0.500  0.000  0.500


9.
VASP calculation (GGA-PBE) on a geometry-optimized Sn2HgIrI structure.

Results
Symmetry ... No. 123
Formation energy from raw total energies ... -3.172 kcal/mol of atoms
DOS at the Fermi energy ... 1.0 states/eV per cell
Energy ... -19.4 eV/cell

a b c (Å): 5.160 5.160 5.417
angles (deg): 90.00 90.00 90.00
Fractional positions:
Sn  0.000  0.500  0.000
Sn  0.500  0.000  0.000
Hg  0.000  0.000  0.500
Ir  0.000  0.000  0.000
I  0.500  0.500  0.500


10.
VASP calculation (GGA-PBE) on a geometry-optimized HgTe2IrI structure.

Results
Symmetry ... No. 123
Formation energy from raw total energies ... 9.103 kcal/mol of atoms
DOS at the Fermi energy ... 6.2 states/eV per cell
Energy ... -15.0 eV/cell
Energy relative to the lowest polymorph listed for this composition ... 0 meV/atom

a b c (Å): 5.247 5.247 5.721
angles (deg): 90.00 90.00 90.00
Fractional positions:
Hg  0.000  0.000  0.000
Te  0.000  0.500  0.500
Te  0.500  0.000  0.500
Ir  0.500  0.500  0.500
I  0.500  0.500  0.000


11.
VASP calculation (GGA-PBE) on a geometry-optimized K2Hg2I5 structure.

Results
Symmetry ... No. 46
Formation energy from raw total energies ... -17.423 kcal/mol of atoms
DOS at the Fermi energy ... 3.7 states/eV per cell
Energy ... -34.7 eV/cell
Energy relative to the lowest polymorph listed for this composition ... 0 meV/atom

a b c (Å): 13.049 13.049 13.049
angles (deg): 55.24 141.02 142.44
Fractional positions:
K  0.023  0.102  0.125
K  0.023  0.398  0.422
K  0.977  0.602  0.578
K  0.977  0.898  0.875
Hg  0.454  0.767  0.187
Hg  0.482  0.482  0.000
Hg  0.482  0.982  0.500
Hg  0.579  0.267  0.813
I  0.343  0.069  0.565
I  0.343  0.278  0.774
I  0.489  0.224  0.243
I  0.489  0.746  0.766
I  0.504  0.569  0.226
I  0.504  0.778  0.435
I  0.751  0.121  0.130
I  0.981  0.246  0.757
I  0.981  0.724  0.234
I  0.991  0.621  0.870


12.
VASP calculation (GGA-PBE) on a geometry-optimized KHg2I structure.

Results
Symmetry ... No. 11
Formation energy from raw total energies ... -16.035 kcal/mol of atoms
Energy ... -12.1 eV/cell
Energy relative to the lowest polymorph listed for this composition ... 0 meV/atom

a b c (Å): 4.973 4.971 12.885
angles (deg): 90.00 101.10 90.00
Fractional positions:
K  0.180  0.250  0.360
K  0.820  0.750  0.640
Hg  0.050  0.750  0.100
Hg  0.450  0.750  0.901
Hg  0.550  0.250  0.099
Hg  0.950  0.250  0.900
I  0.320  0.250  0.641
I  0.680  0.750  0.359